VASP calculation (PBE with a Hubbard U) on a geometry-optimized Fe3HgO structure.

Computed properties:
Total moment   10.463 μB/f.u.
Total DFT energy (no corrections)   -4.10 eV per atom
Polymorph energy (0 for the lowest one)   0.000 eV per atom
DOS at the Fermi energy   0.997 states/eV/atom

a = 4.1727 Å, b = 4.1727 Å, c = 4.1727 Å
α = 90.00°, β = 90.00°, γ = 90.00°
Space group Pm-3m (No. 221)
Asymmetric unit:
Fe  0.0000  0.0000  0.5000 (multiplicity 3)
Hg  0.5000  0.5000  0.5000 (multiplicity 1)
O  0.0000  0.0000  0.0000 (multiplicity 1)